Material: Ca2BSbPt6
Method: DFT, PBE-GGA
State: optimized geometry

Summary:
V = 19.1 Å³/atom
uncorrected formation energy = -0.6953 eV per atom
crystal system = orthorhombic

Structure (CIF):
```
data_Ca2BSbPt6
_space_group_name_H-M_alt 'P m m n'
_space_group_IT_number 59
_cell_length_a 5.800
_cell_length_b 8.721
_cell_length_c 7.533
_cell_angle_alpha 90.00
_cell_angle_beta 90.00
_cell_angle_gamma 90.00
loop_
_space_group_symop_operation_xyz
'x,y,z'
'-x,-y,-z'
'-x+1/2,-y+1/2,z'
'x+1/2,y+1/2,-z'
'x+1/2,-y,-z'
'-x+1/2,y,z'
'-x,y+1/2,-z'
'x,-y+1/2,z'
loop_
_atom_site_label
_atom_site_type_symbol
_atom_site_fract_x
_atom_site_fract_y
_atom_site_fract_z
Ca1 Ca 0.250 0.033 0.220
B1 B 0.250 0.250 0.691
Sb1 Sb 0.250 0.750 0.823
Pt1 Pt 0.001 0.250 0.893
Pt2 Pt 0.013 0.750 0.501
Pt3 Pt 0.250 0.006 0.641
```